[1]
# RbCu2Pb2 PBE-GGA optimized geometry
data_RbCu2Pb2
_cell_length_a 6.671
_cell_length_b 6.671
_cell_length_c 6.671
_cell_angle_alpha 137.10
_cell_angle_beta 137.10
_cell_angle_gamma 62.28
_space_group_name_H-M_alt 'P 1'
_space_group_IT_number 1
_space_group_name_Hall 'P 1'
loop_
_atom_site_label
_atom_site_type_symbol
_atom_site_fract_x
_atom_site_fract_y
_atom_site_fract_z
Rb1 Rb 0.000 0.000 0.000
Cu1 Cu 0.384 0.384 0.000
Cu2 Cu 0.616 0.616 0.000
Pb1 Pb 0.250 0.750 0.500
Pb2 Pb 0.750 0.250 0.500
# - density of states at the Fermi level (states/eV per atom) = 0.67
# - electronic total energy (eV per atom) = -3.125
# - total magnetic moment (μB/cell) = 0.00
# - formation energy (meV/atom) = 190

[2]
# RbCu2Pb2 PBE-GGA optimized geometry
data_RbCu2Pb2
_cell_length_a 8.841
_cell_length_b 8.841
_cell_length_c 3.303
_cell_angle_alpha 90.00
_cell_angle_beta 90.00
_cell_angle_gamma 90.00
_space_group_name_H-M_alt 'P 1'
_space_group_IT_number 1
_space_group_name_Hall 'P 1'
loop_
_atom_site_label
_atom_site_type_symbol
_atom_site_fract_x
_atom_site_fract_y
_atom_site_fract_z
Rb1 Rb 0.000 0.000 0.000
Rb2 Rb 0.500 0.500 0.000
Cu1 Cu 0.119 0.381 0.000
Cu2 Cu 0.381 0.881 0.000
Cu3 Cu 0.619 0.119 0.000
Cu4 Cu 0.881 0.619 0.000
Pb1 Pb 0.150 0.650 0.500
Pb2 Pb 0.350 0.150 0.500
Pb3 Pb 0.650 0.850 0.500
Pb4 Pb 0.850 0.350 0.500
# - density of states at the Fermi level (states/eV per atom) = 0.29
# - electronic total energy (eV per atom) = -3.073
# - total magnetic moment (μB/cell) = 0.00
# - formation energy (meV/atom) = 242

[3]
# Rb2CuPb PBE-GGA optimized geometry
data_Rb2CuPb
_cell_length_a 9.686
_cell_length_b 9.686
_cell_length_c 9.686
_cell_angle_alpha 93.84
_cell_angle_beta 93.84
_cell_angle_gamma 149.98
_space_group_name_H-M_alt 'P 1'
_space_group_IT_number 1
_space_group_name_Hall 'P 1'
loop_
_atom_site_label
_atom_site_type_symbol
_atom_site_fract_x
_atom_site_fract_y
_atom_site_fract_z
Rb1 Rb 0.375 0.190 0.315
Rb2 Rb 0.810 0.125 0.185
Rb3 Rb 0.875 0.060 0.685
Rb4 Rb 0.940 0.625 0.815
Cu1 Cu 0.000 0.000 0.000
Cu2 Cu 0.750 0.250 0.500
Pb1 Pb 0.250 0.750 0.500
Pb2 Pb 0.500 0.500 0.000
# - density of states at the Fermi level (states/eV per atom) = 0.82
# - electronic total energy (eV per atom) = -2.302
# - total magnetic moment (μB/cell) = 0.00
# - formation energy (meV/atom) = 133

[4]
# RbCu2Pb2 PBE-GGA optimized geometry
data_RbCu2Pb2
_cell_length_a 9.023
_cell_length_b 9.023
_cell_length_c 3.172
_cell_angle_alpha 90.00
_cell_angle_beta 90.00
_cell_angle_gamma 90.00
_space_group_name_H-M_alt 'P 1'
_space_group_IT_number 1
_space_group_name_Hall 'P 1'
loop_
_atom_site_label
_atom_site_type_symbol
_atom_site_fract_x
_atom_site_fract_y
_atom_site_fract_z
Rb1 Rb 0.000 0.000 0.000
Rb2 Rb 0.500 0.500 0.000
Cu1 Cu 0.144 0.356 0.500
Cu2 Cu 0.356 0.856 0.500
Cu3 Cu 0.644 0.144 0.500
Cu4 Cu 0.856 0.644 0.500
Pb1 Pb 0.136 0.636 0.000
Pb2 Pb 0.364 0.136 0.000
Pb3 Pb 0.636 0.864 0.000
Pb4 Pb 0.864 0.364 0.000
# - density of states at the Fermi level (states/eV per atom) = 0.39
# - electronic total energy (eV per atom) = -3.042
# - total magnetic moment (μB/cell) = 0.00
# - formation energy (meV/atom) = 274

[5]
# RbCu3Pb PBE-GGA optimized geometry
data_RbCu3Pb
_cell_length_a 5.165
_cell_length_b 5.165
_cell_length_c 5.165
_cell_angle_alpha 90.00
_cell_angle_beta 90.00
_cell_angle_gamma 90.00
_space_group_name_H-M_alt 'P 1'
_space_group_IT_number 1
_space_group_name_Hall 'P 1'
loop_
_atom_site_label
_atom_site_type_symbol
_atom_site_fract_x
_atom_site_fract_y
_atom_site_fract_z
Rb1 Rb 0.000 0.000 0.000
Cu1 Cu 0.000 0.500 0.500
Cu2 Cu 0.500 0.000 0.500
Cu3 Cu 0.500 0.500 0.000
Pb1 Pb 0.500 0.500 0.500
# - density of states at the Fermi level (states/eV per atom) = 0.01
# - electronic total energy (eV per atom) = -2.933
# - total magnetic moment (μB/cell) = 0.00
# - formation energy (meV/atom) = 459

[6]
# RbCu2SiPb PBE-GGA optimized geometry
data_RbCu2SiPb
_cell_length_a 5.057
_cell_length_b 5.057
_cell_length_c 6.818
_cell_angle_alpha 90.00
_cell_angle_beta 90.00
_cell_angle_gamma 90.00
_space_group_name_H-M_alt 'P 1'
_space_group_IT_number 1
_space_group_name_Hall 'P 1'
loop_
_atom_site_label
_atom_site_type_symbol
_atom_site_fract_x
_atom_site_fract_y
_atom_site_fract_z
Rb1 Rb 0.000 0.000 0.000
Cu1 Cu 0.000 0.500 0.500
Cu2 Cu 0.500 0.000 0.500
Si1 Si 0.500 0.500 0.000
Pb1 Pb 0.000 0.000 0.500
# - density of states at the Fermi level (states/eV per atom) = 0.81
# - electronic total energy (eV per atom) = -2.562
# - total magnetic moment (μB/cell) = 1.55
# - formation energy (no corrections) (eV/atom) = 1.096

[7]
# RbCu2TcPb PBE-GGA optimized geometry
data_RbCu2TcPb
_cell_length_a 4.910
_cell_length_b 4.910
_cell_length_c 5.349
_cell_angle_alpha 90.00
_cell_angle_beta 90.00
_cell_angle_gamma 90.00
_space_group_name_H-M_alt 'P 1'
_space_group_IT_number 1
_space_group_name_Hall 'P 1'
loop_
_atom_site_label
_atom_site_type_symbol
_atom_site_fract_x
_atom_site_fract_y
_atom_site_fract_z
Rb1 Rb 0.000 0.000 0.000
Cu1 Cu 0.000 0.500 0.500
Cu2 Cu 0.500 0.000 0.500
Tc1 Tc 0.000 0.000 0.500
Pb1 Pb 0.500 0.500 0.000
# - density of states at the Fermi level (states/eV per atom) = 0.84
# - electronic total energy (eV per atom) = -3.304
# - total magnetic moment (μB/cell) = 1.34
# - formation energy (meV/atom) = 1343

[8]
# Rb2VCuPb PBE-GGA optimized geometry
data_Rb2VCuPb
_cell_length_a 7.012
_cell_length_b 7.012
_cell_length_c 5.315
_cell_angle_alpha 90.00
_cell_angle_beta 90.00
_cell_angle_gamma 90.00
_space_group_name_H-M_alt 'P 1'
_space_group_IT_number 1
_space_group_name_Hall 'P 1'
loop_
_atom_site_label
_atom_site_type_symbol
_atom_site_fract_x
_atom_site_fract_y
_atom_site_fract_z
Rb1 Rb 0.000 0.500 0.000
Rb2 Rb 0.500 0.000 0.000
V1 V 0.000 0.000 0.500
Cu1 Cu 0.500 0.500 0.500
Pb1 Pb 0.000 0.000 0.000
# - density of states at the Fermi level (states/eV per atom) = 3.24
# - electronic total energy (eV per atom) = -2.811
# - total magnetic moment (μB/cell) = 2.58
# - formation energy (meV/atom) = 961

[9]
# Cu2RePb PBE-GGA optimized geometry
data_Cu2RePb
_cell_length_a 9.739
_cell_length_b 9.739
_cell_length_c 9.739
_cell_angle_alpha 156.55
_cell_angle_beta 156.55
_cell_angle_gamma 33.40
_space_group_name_H-M_alt 'P 1'
_space_group_IT_number 1
_space_group_name_Hall 'P 1'
loop_
_atom_site_label
_atom_site_type_symbol
_atom_site_fract_x
_atom_site_fract_y
_atom_site_fract_z
Cu1 Cu 0.062 0.625 0.937
Cu2 Cu 0.375 0.312 0.437
Cu3 Cu 0.688 0.125 0.063
Cu4 Cu 0.875 0.938 0.563
Re1 Re 0.000 0.000 0.000
Re2 Re 0.750 0.250 0.500
Pb1 Pb 0.250 0.750 0.500
Pb2 Pb 0.500 0.500 0.000
# - density of states at the Fermi level (states/eV per atom) = 0.90
# - electronic total energy (eV per atom) = -5.098
# - total magnetic moment (μB/cell) = 2.19
# - formation energy (meV/atom) = 989

[10]
# Cu2RePb PBE-GGA optimized geometry
data_Cu2RePb
_cell_length_a 5.499
_cell_length_b 5.499
_cell_length_c 5.499
_cell_angle_alpha 148.11
_cell_angle_beta 130.31
_cell_angle_gamma 60.27
_space_group_name_H-M_alt 'P 1'
_space_group_IT_number 1
_space_group_name_Hall 'P 1'
loop_
_atom_site_label
_atom_site_type_symbol
_atom_site_fract_x
_atom_site_fract_y
_atom_site_fract_z
Cu1 Cu 0.233 0.233 0.000
Cu2 Cu 0.767 0.767 0.000
Re1 Re 0.000 0.500 0.500
Pb1 Pb 0.500 0.000 0.500
# - density of states at the Fermi level (states/eV per atom) = 0.43
# - electronic total energy (eV per atom) = -5.354
# - total magnetic moment (μB/cell) = 0.00
# - formation energy (meV/atom) = 733

[11]
# CuRePb3 PBE-GGA optimized geometry
data_CuRePb3
_cell_length_a 5.338
_cell_length_b 5.338
_cell_length_c 5.338
_cell_angle_alpha 90.00
_cell_angle_beta 90.00
_cell_angle_gamma 90.00
_space_group_name_H-M_alt 'P 1'
_space_group_IT_number 1
_space_group_name_Hall 'P 1'
loop_
_atom_site_label
_atom_site_type_symbol
_atom_site_fract_x
_atom_site_fract_y
_atom_site_fract_z
Cu1 Cu 0.000 0.000 0.000
Re1 Re 0.500 0.500 0.500
Pb1 Pb 0.000 0.500 0.500
Pb2 Pb 0.500 0.000 0.500
Pb3 Pb 0.500 0.500 0.000
# - density of states at the Fermi level (states/eV per atom) = 0.00
# - electronic total energy (eV per atom) = -4.755
# - total magnetic moment (μB/cell) = 0.00
# - formation energy (meV/atom) = 779

[12]
# Cu2RePb PBE-GGA optimized geometry
data_Cu2RePb
_cell_length_a 4.991
_cell_length_b 4.991
_cell_length_c 4.748
_cell_angle_alpha 102.48
_cell_angle_beta 102.48
_cell_angle_gamma 35.33
_space_group_name_H-M_alt 'P 1'
_space_group_IT_number 1
_space_group_name_Hall 'P 1'
loop_
_atom_site_label
_atom_site_type_symbol
_atom_site_fract_x
_atom_site_fract_y
_atom_site_fract_z
Cu1 Cu 0.236 0.236 0.200
Cu2 Cu 0.764 0.764 0.800
Re1 Re 0.500 0.500 0.000
Pb1 Pb 0.000 0.000 0.500
# - density of states at the Fermi level (states/eV per atom) = 0.31
# - electronic total energy (eV per atom) = -5.384
# - total magnetic moment (μB/cell) = 0.00
# - formation energy (meV/atom) = 704